{
  "formula": "Sr2Cu2RuO6",
  "functional": "PBE",
  "state": "optimized geometry",
  "lattice": [[5.854, 0.000, 0.000], [2.927, 5.070, 0.000], [2.927, 1.690, 5.100]],
  "species": ["Ru", "Cu", "Cu", "O", "O", "O", "O", "O", "O", "Sr", "Sr"],
  "fractional_positions": [[0.000, 0.000, 0.000], [0.587, 0.587, 0.238], [0.413, 0.413, 0.762], [0.767, 0.220, 0.245], [0.233, 0.233, 0.755], [0.220, 0.767, 0.245], [0.780, 0.233, 0.755], [0.233, 0.780, 0.755], [0.767, 0.767, 0.245], [0.784, 0.784, 0.647], [0.216, 0.216, 0.353]],
  "raw_formation_energy_ev_per_atom": -1.449,
  "crystal_system": "trigonal",
  "m_tot_mub_per_cell": 0.5
}